A geometry-optimized LiNdAs structure. Source: the Alexandria database, functional PBE.

VASP energy in Ha/atom: -0.1575
Fermi-level density of states in states/eV per cell: 6.3
Formation energy in eV/atom: -0.51

Structure (CIF):
```
data_LiNdAs
_chemical_formula_sum 'Li2 Nd2 As2'
_cell_length_a 3.6199
_cell_length_b 3.6199
_cell_length_c 10.2260
_cell_angle_alpha 90.00
_cell_angle_beta 90.00
_cell_angle_gamma 90.00
_space_group_name_H-M_alt 'I 4 m m'
_space_group_IT_number 107
_space_group_name_Hall 'I 4 -2'
loop_
_atom_site_label
_atom_site_type_symbol
_atom_site_fract_x
_atom_site_fract_y
_atom_site_fract_z
Li1 Li 0.0000 0.0000 0.0000
Nd1 Nd 0.0000 0.0000 0.2844
As1 As 0.0000 0.0000 0.5933
```

---

A geometry-optimized LiNdAs2 structure. Source: the Alexandria database, functional PBE.

VASP energy in Ha/atom: -0.1754
Fermi-level density of states in states/eV per cell: 2.0
Formation energy in eV/atom: -0.78

Structure (CIF):
```
data_LiNdAs2
_chemical_formula_sum 'Li1 Nd1 As2'
_cell_length_a 4.6150
_cell_length_b 4.6150
_cell_length_c 4.0360
_cell_angle_alpha 90.00
_cell_angle_beta 90.00
_cell_angle_gamma 90.00
_space_group_name_H-M_alt 'P 4/m m m'
_space_group_IT_number 123
_space_group_name_Hall '-P 4 2'
loop_
_atom_site_label
_atom_site_type_symbol
_atom_site_fract_x
_atom_site_fract_y
_atom_site_fract_z
Li1 Li 0.0000 0.0000 0.0000
Nd1 Nd 0.5000 0.5000 0.0000
As1 As 0.0000 0.5000 0.5000
```